(a)
# ScPaRh4 | Alexandria via LeMat-Bulk | PBE-GGA | relaxed
data_ScPaRh4
_cell_length_a 7.4555
_cell_length_b 7.4555
_cell_length_c 7.4555
_cell_angle_alpha 90.00
_cell_angle_beta 90.00
_cell_angle_gamma 90.00
_space_group_name_H-M_alt 'F -4 3 m'
_space_group_IT_number 216
_space_group_name_Hall 'F -4 2 3'
loop_
_atom_site_label
_atom_site_fract_x
_atom_site_fract_y
_atom_site_fract_z
Sc1 0.0000 0.0000 0.0000
Pa1 0.2500 0.2500 0.7500
Rh1 0.1256 0.1256 0.3744
# Calculated volume ... 17.27 A^3/atom

***

(b)
# ScPaRh4 | Alexandria via LeMat-Bulk | PBE-GGA | relaxed
data_ScPaRh4
_cell_length_a 6.7666
_cell_length_b 4.0918
_cell_length_c 15.0874
_cell_angle_alpha 90.00
_cell_angle_beta 90.00
_cell_angle_gamma 90.00
_space_group_name_H-M_alt 'P n m a'
_space_group_IT_number 62
loop_
_space_group_symop_operation_xyz
'x,y,z'
'-x,-y,-z'
'-x+1/2,-y,z+1/2'
'x+1/2,y,-z+1/2'
'x+1/2,-y+1/2,-z+1/2'
'-x+1/2,y+1/2,z+1/2'
'-x,y+1/2,-z'
'x,-y+1/2,z'
loop_
_atom_site_label
_atom_site_fract_x
_atom_site_fract_y
_atom_site_fract_z
Sc1 0.1868 0.2500 0.0283
Pa1 0.1546 0.7500 0.2942
Rh1 0.0419 0.2500 0.5662
Rh2 0.0605 0.7500 0.1318
Rh3 0.1519 0.7500 0.7003
Rh4 0.2275 0.7500 0.9036
# Calculated volume ... 17.41 A^3/atom

***

Most favorable first, least favorable last: (b), (a)

***

(a)
# ScPaRh2 | Alexandria via LeMat-Bulk | PBE-GGA | relaxed
data_ScPaRh2
_cell_length_a 4.7912
_cell_length_b 4.7912
_cell_length_c 11.6978
_cell_angle_alpha 90.00
_cell_angle_beta 90.00
_cell_angle_gamma 120.00
_space_group_name_H-M_alt 'R -3 m'
_space_group_IT_number 166
_space_group_name_Hall '-R 3 2"'
loop_
_atom_site_label
_atom_site_fract_x
_atom_site_fract_y
_atom_site_fract_z
Sc1 0.0000 0.0000 0.0000
Pa1 0.0000 0.0000 0.5000
Rh1 0.0000 0.0000 0.2750
# Calculated volume ... 19.38 A^3/atom

***

(b)
# ScPaRh2 | Alexandria via LeMat-Bulk | PBE-GGA | relaxed
data_ScPaRh2
_cell_length_a 4.7529
_cell_length_b 4.7529
_cell_length_c 3.3462
_cell_angle_alpha 90.00
_cell_angle_beta 90.00
_cell_angle_gamma 90.00
_space_group_name_H-M_alt 'P 4/m m m'
_space_group_IT_number 123
_space_group_name_Hall '-P 4 2'
loop_
_atom_site_label
_atom_site_fract_x
_atom_site_fract_y
_atom_site_fract_z
Sc1 0.0000 0.0000 0.0000
Pa1 0.5000 0.5000 0.0000
Rh1 0.0000 0.5000 0.5000
# Calculated volume ... 18.90 A^3/atom

***

Most favorable first, least favorable last: (b), (a)

***

(a)
# PaRhSe | Alexandria via LeMat-Bulk | PBE-GGA | relaxed
data_PaRhSe
_cell_length_a 4.5065
_cell_length_b 4.5065
_cell_length_c 24.7290
_cell_angle_alpha 90.00
_cell_angle_beta 90.00
_cell_angle_gamma 120.00
_space_group_name_H-M_alt 'R -3 m'
_space_group_IT_number 166
_space_group_name_Hall '-R 3 2"'
loop_
_atom_site_label
_atom_site_fract_x
_atom_site_fract_y
_atom_site_fract_z
Pa1 0.0000 0.0000 0.2454
Rh1 0.0000 0.0000 0.1410
Se1 0.0000 0.0000 0.3735
# Calculated volume ... 24.16 A^3/atom

***

(b)
# PaRhSe | Alexandria via LeMat-Bulk | PBE-GGA | relaxed
data_PaRhSe
_cell_length_a 4.3183
_cell_length_b 4.3183
_cell_length_c 3.6324
_cell_angle_alpha 90.00
_cell_angle_beta 90.00
_cell_angle_gamma 120.00
_space_group_name_H-M_alt 'P -6 m 2'
_space_group_IT_number 187
_space_group_name_Hall 'P -6 2'
loop_
_atom_site_label
_atom_site_fract_x
_atom_site_fract_y
_atom_site_fract_z
Pa1 0.0000 0.0000 0.0000
Rh1 0.6667 0.3333 0.5000
Se1 0.3333 0.6667 0.5000
# Calculated volume ... 19.55 A^3/atom

***

Most favorable first, least favorable last: (b), (a)

***

(a)
# PaSi2Rh4 | Alexandria via LeMat-Bulk | PBE-GGA | relaxed
data_PaSi2Rh4
_cell_length_a 16.6706
_cell_length_b 3.9881
_cell_length_c 6.6255
_cell_angle_alpha 90.00
_cell_angle_beta 90.00
_cell_angle_gamma 90.00
_space_group_name_H-M_alt 'P n m a'
_space_group_IT_number 62
loop_
_space_group_symop_operation_xyz
'x,y,z'
'-x,-y,-z'
'-x+1/2,-y,z+1/2'
'x+1/2,y,-z+1/2'
'x+1/2,-y+1/2,-z+1/2'
'-x+1/2,y+1/2,z+1/2'
'-x,y+1/2,-z'
'x,-y+1/2,z'
loop_
_atom_site_label
_atom_site_fract_x
_atom_site_fract_y
_atom_site_fract_z
Pa1 0.1398 0.2500 0.0084
Si1 0.0377 0.7500 0.2696
Si2 0.2128 0.2500 0.5433
Rh1 0.0321 0.7500 0.8700
Rh2 0.0688 0.2500 0.4847
Rh3 0.1821 0.7500 0.3283
Rh4 0.2005 0.7500 0.7482
# Calculated volume ... 15.73 A^3/atom

***

(b)
# PaSi2Rh4 | Alexandria via LeMat-Bulk | PBE-GGA | relaxed
data_PaSi2Rh4
_cell_length_a 4.0859
_cell_length_b 13.2480
_cell_length_c 4.1498
_cell_angle_alpha 90.00
_cell_angle_beta 90.00
_cell_angle_gamma 90.00
_space_group_name_H-M_alt 'C m m m'
_space_group_IT_number 65
_space_group_name_Hall '-C 2 2'
loop_
_atom_site_label
_atom_site_fract_x
_atom_site_fract_y
_atom_site_fract_z
Pa1 0.0000 0.0000 0.0000
Si1 0.0000 0.4094 0.5000
Rh1 0.0000 0.1749 0.5000
Rh2 0.0000 0.3291 0.0000
# Calculated volume ... 16.04 A^3/atom

***

Most favorable first, least favorable last: (a), (b)

***

(a)
# Pa2SiRh | Alexandria via LeMat-Bulk | PBE-GGA | relaxed
data_Pa2SiRh
_cell_length_a 3.6885
_cell_length_b 3.6885
_cell_length_c 5.9559
_cell_angle_alpha 90.00
_cell_angle_beta 90.00
_cell_angle_gamma 90.00
_space_group_name_H-M_alt 'P 4/m m m'
_space_group_IT_number 123
_space_group_name_Hall '-P 4 2'
loop_
_atom_site_label
_atom_site_fract_x
_atom_site_fract_y
_atom_site_fract_z
Pa1 0.0000 0.0000 0.2442
Si1 0.5000 0.5000 0.0000
Rh1 0.5000 0.5000 0.5000
# Calculated volume ... 20.26 A^3/atom

***

(b)
# Pa2SiRh | Alexandria via LeMat-Bulk | PBE-GGA | relaxed
data_Pa2SiRh
_cell_length_a 5.8932
_cell_length_b 3.8551
_cell_length_c 8.0099
_cell_angle_alpha 90.00
_cell_angle_beta 110.54
_cell_angle_gamma 90.00
_space_group_name_H-M_alt 'P 1 21/m 1'
_space_group_IT_number 11
loop_
_space_group_symop_operation_xyz
'x,y,z'
'-x,-y,-z'
'-x,y+1/2,-z'
'x,-y+1/2,z'
loop_
_atom_site_label
_atom_site_fract_x
_atom_site_fract_y
_atom_site_fract_z
Pa1 0.1969 0.2500 0.4077
Pa2 0.2132 0.2500 0.9409
Si1 0.3363 0.7500 0.7051
Rh1 0.3595 0.7500 0.2177
# Calculated volume ... 21.30 A^3/atom

***

(c)
# Pa2SiRh | Alexandria via LeMat-Bulk | PBE-GGA | relaxed
data_Pa2SiRh
_cell_length_a 3.1420
_cell_length_b 3.1420
_cell_length_c 29.4128
_cell_angle_alpha 90.00
_cell_angle_beta 90.00
_cell_angle_gamma 120.00
_space_group_name_H-M_alt 'R -3 m'
_space_group_IT_number 166
_space_group_name_Hall '-R 3 2"'
loop_
_atom_site_label
_atom_site_fract_x
_atom_site_fract_y
_atom_site_fract_z
Pa1 0.0000 0.0000 0.0862
Si1 0.0000 0.0000 0.5000
Rh1 0.0000 0.0000 0.0000
# Calculated volume ... 20.96 A^3/atom

***

(d)
# Pa2SiRh | Alexandria via LeMat-Bulk | PBE-GGA | relaxed
data_Pa2SiRh
_cell_length_a 4.2938
_cell_length_b 4.2938
_cell_length_c 4.2547
_cell_angle_alpha 90.00
_cell_angle_beta 90.00
_cell_angle_gamma 90.00
_space_group_name_H-M_alt 'P 4/m m m'
_space_group_IT_number 123
_space_group_name_Hall '-P 4 2'
loop_
_atom_site_label
_atom_site_fract_x
_atom_site_fract_y
_atom_site_fract_z
Pa1 0.0000 0.5000 0.0000
Si1 0.0000 0.0000 0.5000
Rh1 0.5000 0.5000 0.5000
# Calculated volume ... 19.61 A^3/atom

***

Most favorable first, least favorable last: (b), (a), (d), (c)

***

(a)
# PaSiTcRh | Alexandria via LeMat-Bulk | PBE-GGA | relaxed
data_PaSiTcRh
_cell_length_a 3.6066
_cell_length_b 4.5478
_cell_length_c 4.7129
_cell_angle_alpha 90.00
_cell_angle_beta 90.00
_cell_angle_gamma 90.00
_space_group_name_H-M_alt 'P m m m'
_space_group_IT_number 47
loop_
_space_group_symop_operation_xyz
'x,y,z'
'-x,-y,-z'
'-x,-y,z'
'x,y,-z'
'x,-y,-z'
'-x,y,z'
'-x,y,-z'
'x,-y,z'
loop_
_atom_site_label
_atom_site_fract_x
_atom_site_fract_y
_atom_site_fract_z
Pa1 0.0000 0.0000 0.0000
Si1 0.5000 0.5000 0.5000
Tc1 0.5000 0.5000 0.0000
Rh1 0.5000 0.0000 0.5000
# Calculated volume ... 19.33 A^3/atom

***

(b)
# PaSiTcRh | Alexandria via LeMat-Bulk | PBE-GGA | relaxed
data_PaSiTcRh
_cell_length_a 6.5141
_cell_length_b 6.5141
_cell_length_c 6.5141
_cell_angle_alpha 90.00
_cell_angle_beta 90.00
_cell_angle_gamma 90.00
_space_group_name_H-M_alt 'F -4 3 m'
_space_group_IT_number 216
_space_group_name_Hall 'F -4 2 3'
loop_
_atom_site_label
_atom_site_fract_x
_atom_site_fract_y
_atom_site_fract_z
Pa1 0.0000 0.0000 0.0000
Si1 0.0000 0.0000 0.5000
Tc1 0.2500 0.2500 0.7500
Rh1 0.2500 0.2500 0.2500
# Calculated volume ... 17.28 A^3/atom

***

Most favorable first, least favorable last: (b), (a)